Er5PdRu4 after structural relaxation, computed with PBE.

The space group is P4/mmm (No. 123) and the conventional cell measures 3.3989, 3.3989 and 16.8434 Å, with angles of 90.00, 90.00 and 90.00 degrees. The inequivalent atoms are Er at (0.0000, 0.0000, 0.0000), Er at (0.0000, 0.0000, 0.1979), Er at (0.0000, 0.0000, 0.3944), Pd at (0.5000, 0.5000, 0.5000), Ru at (0.5000, 0.5000, 0.0995) and Ru at (0.5000, 0.5000, 0.3012).

The calculation puts the formation energy from the elements at -0.5349 eV/atom. The volume comes out at 19.46 A^3/atom. The value obtained for the density of states at the Fermi level is 6.9 states/eV/f.u. Its crystal system is tetragonal.